Computed, not measured: a geometry-optimized La2TbNd structure at the PBE level of DFT.

```
data_La2TbNd
_symmetry_space_group_name_H-M 'R -3 m'
_symmetry_Int_Tables_number 166
_symmetry_space_group_name_Hall '-R 3 2"'
_cell_length_a 3.5744
_cell_length_b 3.5744
_cell_length_c 38.4409
_cell_angle_alpha 90.00
_cell_angle_beta 90.00
_cell_angle_gamma 120.00
loop_
_atom_site_label
_atom_site_type_symbol
_atom_site_fract_x
_atom_site_fract_y
_atom_site_fract_z
_atom_site_occupancy
La1 La 0.0000 0.0000 0.0890 1
Tb1 Tb 0.0000 0.0000 0.5000 1
Nd1 Nd 0.0000 0.0000 0.0000 1
```

Properties
**Density of states at the Fermi level**: 1.75 states/eV/atom
**Energy of formation from the pure elements**: 0.6 eV per formula unit
**Distance to the lowest polymorph of the same formula**: 0.53 eV/f.u.
**Calculated density**: 6.80 Mg/m³